No. 1
Here is GaAg3S after structural relaxation from the Alexandria database. Energies are from PBE.

Lattice parameters (Å, degrees): 4.9030 4.9030 4.9030 90.00 90.00 90.00
With the nearest neighbours (Å) after each atom.
Space group Pm-3m (No. 221)
One atom of each set of equivalent atoms:
Ga  0.0000  0.0000  0.0000 (multiplicity 1)  12 Ag 3.47
Ag  0.0000  0.5000  0.5000 (multiplicity 3)  2 S 2.45
S  0.5000  0.5000  0.5000 (multiplicity 1)  6 Ag 2.45

Summary:
- Electronic total energy: -2.8037 eV per atom
- Total magnetization: 0.000 μB/atom
- DOS at the Fermi energy: 0.43 states/eV per atom



No. 2
Here is GaAgS2 after structural relaxation from the Alexandria database. Energies are from PBE.

Lattice parameters (Å, degrees): 3.9294 5.6694 8.0860 90.00 90.02 90.00
With the nearest neighbours (Å) after each atom.
Space group P2_1 (No. 4)
One atom of each set of equivalent atoms:
Ga  0.2500  0.0000  0.1273 (multiplicity 2)  4 S 2.19-2.43
Ag  0.2486  0.0304  0.6341 (multiplicity 2)  4 S 2.52-2.62
S  0.2499  0.7499  0.8922 (multiplicity 2)  3 Ga 2.37-2.43, 1 Ag 2.62
S  0.2511  0.8092  0.3630 (multiplicity 2)  1 Ga 2.19

Summary:
- Electronic total energy: -3.9460 eV per atom
- Total magnetization: 0.000 μB/atom
- DOS at the Fermi energy: 0.05 states/eV per atom



No. 3
Here is Ga2Ag2S after structural relaxation from the Alexandria database. Energies are from PBE.

Lattice parameters (Å, degrees): 6.8981 6.8981 4.0647 90.00 90.00 90.00
With the nearest neighbours (Å) after each atom.
Space group P4/mbm (No. 127)
One atom of each set of equivalent atoms:
Ga  0.1587  0.3413  0.0000 (multiplicity 4)  2 S 2.60, 6 Ag 2.81-2.91
Ag  0.1421  0.6421  0.5000 (multiplicity 4)  1 Ag 2.77, 6 Ga 2.81-2.91
S  0.0000  0.0000  0.0000 (multiplicity 2)  4 Ga 2.60

Summary:
- Electronic total energy: -3.0340 eV per atom
- Total magnetization: 0.000 μB/atom
- DOS at the Fermi energy: 0.38 states/eV per atom



No. 4
Here is GaAgS2 after structural relaxation from the Alexandria database. Energies are from PBE.

Lattice parameters (Å, degrees): 3.6123 3.6123 20.7844 90.00 90.00 120.00
With the nearest neighbours (Å) after each atom.
Space group R3m (No. 160, hexagonal axes)
One atom of each set of equivalent atoms:
Ga  0.0000  0.0000  0.0000 (multiplicity 3)  6 S 2.44-2.54
Ag  0.0000  0.0000  0.8444 (multiplicity 3)  1 S 2.43
S  0.0000  0.0000  0.2638 (multiplicity 3)  3 Ga 2.54, 3 Ag 2.75
S  0.0000  0.0000  0.7275 (multiplicity 3)  1 Ag 2.43, 3 Ga 2.44

Summary:
- Electronic total energy: -3.8634 eV per atom
- Total magnetization: 0.000 μB/atom



No. 5
Here is GaAg2S2 after structural relaxation from the Alexandria database. Energies are from PBE.

Lattice parameters (Å, degrees): 4.2261 4.2261 11.8252 90.00 90.00 90.00
With the nearest neighbours (Å) after each atom.
Space group I4/mmm (No. 139)
One atom of each set of equivalent atoms:
Ga  0.0000  0.0000  0.0000 (multiplicity 2)  8 S 3.30, 8 Ag 3.63
Ag  0.0000  0.5000  0.2500 (multiplicity 4)  4 S 2.62
S  0.0000  0.0000  0.3807 (multiplicity 4)  4 Ag 2.62, 1 S 2.82

Summary:
- Electronic total energy: -3.2990 eV per atom
- Total magnetization: 0.000 μB/atom
- DOS at the Fermi energy: 0.69 states/eV per atom



No. 6
Here is GaAg3S4 after structural relaxation from the Alexandria database. Energies are from PBE.

Lattice parameters (Å, degrees): 7.9227 6.8548 6.6930 90.00 90.00 90.00
With the nearest neighbours (Å) after each atom.
Space group Pmn2_1 (No. 31)
One atom of each set of equivalent atoms:
Ga  0.0000  0.1680  0.0000 (multiplicity 2)  4 S 2.30-2.31
Ag  0.0000  0.8470  0.4912 (multiplicity 2)  4 S 2.49-2.52
Ag  0.2495  0.3327  0.4912 (multiplicity 4)  4 S 2.49-2.51
S  0.0000  0.1741  0.6546 (multiplicity 2)  1 Ga 2.31, 3 Ag 2.49-2.51
S  0.0000  0.8505  0.1167 (multiplicity 2)  1 Ga 2.31, 3 Ag 2.49-2.51
S  0.2385  0.3219  0.1161 (multiplicity 4)  1 Ga 2.30, 3 Ag 2.51-2.52

Summary:
- Electronic total energy: -3.6751 eV per atom
- Total magnetization: 0.000 μB/atom
- DOS at the Fermi energy: 0.88 states/eV per atom



Please write out number 5 again, unchanged.
Here is GaAg2S2 after structural relaxation from the Alexandria database. Energies are from PBE.

Lattice parameters (Å, degrees): 4.2261 4.2261 11.8252 90.00 90.00 90.00
With the nearest neighbours (Å) after each atom.
Space group I4/mmm (No. 139)
One atom of each set of equivalent atoms:
Ga  0.0000  0.0000  0.0000 (multiplicity 2)  8 S 3.30, 8 Ag 3.63
Ag  0.0000  0.5000  0.2500 (multiplicity 4)  4 S 2.62
S  0.0000  0.0000  0.3807 (multiplicity 4)  4 Ag 2.62, 1 S 2.82

Summary:
- Electronic total energy: -3.2990 eV per atom
- Total magnetization: 0.000 μB/atom
- DOS at the Fermi energy: 0.69 states/eV per atom



> What is the formula in the first record?

GaAg3S



> Which formula does entry 1 have?

GaAg3S



Repeat the fifth record exactly.
Here is GaAg2S2 after structural relaxation from the Alexandria database. Energies are from PBE.

Lattice parameters (Å, degrees): 4.2261 4.2261 11.8252 90.00 90.00 90.00
With the nearest neighbours (Å) after each atom.
Space group I4/mmm (No. 139)
One atom of each set of equivalent atoms:
Ga  0.0000  0.0000  0.0000 (multiplicity 2)  8 S 3.30, 8 Ag 3.63
Ag  0.0000  0.5000  0.2500 (multiplicity 4)  4 S 2.62
S  0.0000  0.0000  0.3807 (multiplicity 4)  4 Ag 2.62, 1 S 2.82

Summary:
- Electronic total energy: -3.2990 eV per atom
- Total magnetization: 0.000 μB/atom
- DOS at the Fermi energy: 0.69 states/eV per atom